# BaCdSO

Crystalline BaCdSO at its relaxed geometry (PBE, OQMD via LeMat-Bulk).

Results
Its electronic total energy is -4.445 eV/atom. The crystal system is orthorhombic.

Lattice parameters (Å, degrees): 7.607 14.347 7.120 90.00 90.00 90.00
Element x y z (fractional)
Cd 0.257 0.841 0.631
Ba 0.752 0.112 0.903
S 0.505 0.552 0.253
Ba 0.252 0.112 0.597
S 0.005 0.552 0.247
S 0.995 0.052 0.253
Cd 0.757 0.841 0.869
O 0.259 0.768 0.367
S 0.005 0.948 0.747
Cd 0.243 0.159 0.131
Ba 0.748 0.888 0.403
O 0.241 0.268 0.367
O 0.759 0.768 0.133
S 0.495 0.052 0.247
Cd 0.243 0.341 0.631
Ba 0.252 0.388 0.097
Ba 0.748 0.612 0.903
O 0.259 0.732 0.867
Cd 0.257 0.659 0.131
Ba 0.248 0.888 0.097
S 0.505 0.948 0.753
O 0.241 0.232 0.867
Ba 0.248 0.612 0.597
Cd 0.757 0.659 0.369
Ba 0.752 0.388 0.403
O 0.759 0.732 0.633
S 0.995 0.448 0.753
Cd 0.743 0.159 0.369
O 0.741 0.268 0.133
O 0.741 0.232 0.633
Cd 0.743 0.341 0.869
S 0.495 0.448 0.747